1.
This record from Alexandria via LeMat-Bulk describes a geometry-optimized La4CuIr structure. The functional is PBE.

a b c (Å): 6.1641 6.1641 6.1641
angles (deg): 60.00 60.00 60.00
With the nearest neighbours (Å) after each atom.
Element x y z (fractional)
La 0.8789 0.3737 0.3737  6 La 3.05-3.11
La 0.3737 0.3737 0.3737  6 La 3.05-3.11
La 0.3737 0.8789 0.3737  6 La 3.05-3.11
La 0.3737 0.3737 0.8789  6 La 3.05-3.11
Cu 0.7500 0.7500 0.7500  12 La 3.62, 4 Ir 3.77
Ir 0.0000 0.0000 0.0000  12 La 3.61, 4 Cu 3.77

Computed properties:
The offset from the most stable computed form is 1051 meV per atom. The magnetization is 0.00 μB per formula unit. The symmetry is F-43m, No. 216. The value obtained for the energy relative to the elements is 0.702 eV per atom.

2.
This record from Alexandria via LeMat-Bulk describes a geometry-optimized LaCuIr structure. The functional is PBE.

a b c (Å): 4.6938 4.6938 4.6938
angles (deg): 60.00 60.00 60.00
With the nearest neighbours (Å) after each atom.
Element x y z (fractional)
Cu 0.0000 0.0000 0.0000  4 La 2.87
Ir 0.5000 0.5000 0.5000  4 La 2.87
La 0.2500 0.2500 0.2500  4 Ir 2.87, 4 Cu 2.87

Computed properties:
The offset from the most stable computed form is 879 meV per atom. The magnetization is 0.00 μB per formula unit. The symmetry is F-43m, No. 216. The value obtained for the energy relative to the elements is 0.401 eV per atom.

3.
This record from Alexandria via LeMat-Bulk describes a geometry-optimized LaCuIr structure. The functional is PBE.

a b c (Å): 4.6206 4.6206 4.6206
angles (deg): 60.00 60.00 60.00
With the nearest neighbours (Å) after each atom.
Element x y z (fractional)
La 0.0000 0.0000 0.0000  4 Ir 2.83
Cu 0.5000 0.5000 0.5000  4 Ir 2.83
Ir 0.2500 0.2500 0.2500  4 La 2.83, 4 Cu 2.83

Computed properties:
The offset from the most stable computed form is 361 meV per atom. The magnetization is 0.00 μB per formula unit. The symmetry is F-43m, No. 216. The value obtained for the energy relative to the elements is -0.117 eV per atom.

4.
This record from Alexandria via LeMat-Bulk describes a geometry-optimized La8Cu2Ir structure. The functional is PBE.

a b c (Å): 4.0366 9.2693 9.6138
angles (deg): 93.25 102.12 90.00
With the nearest neighbours (Å) after each atom.
Element x y z (fractional)
La 0.5935 0.5124 0.1871  2 Cu 3.12
La 0.9950 0.7861 0.9900  2 Ir 2.83
La 0.3446 0.0114 0.6893  1 Ir 2.93, 2 Cu 3.11
La 0.2279 0.3343 0.4559  2 Cu 2.96
La 0.6554 0.9886 0.3107  1 Ir 2.93, 2 Cu 3.11
La 0.0050 0.2139 0.0100  2 Ir 2.83
La 0.7721 0.6657 0.5441  2 Cu 2.96
La 0.4065 0.4876 0.8129  2 Cu 3.12
Cu 0.1638 0.7351 0.3276  7 La 2.96-3.23
Cu 0.8362 0.2649 0.6724  7 La 2.96-3.23
Ir 0.5000 0.0000 0.0000  6 La 2.83-2.93

Computed properties:
The offset from the most stable computed form is 0 meV per atom. The magnetization is 0.00 μB per formula unit. The symmetry is C2/m, No. 12. The value obtained for the energy relative to the elements is -0.197 eV per atom.

Q: offset from the most stable computed form of number 2 (LaCuIr)?
A: 879 meV per atom

Q: What is the offset from the most stable computed form in the third record?
A: 361 meV per atom

Repeat the fourth record exactly.
This record from Alexandria via LeMat-Bulk describes a geometry-optimized La8Cu2Ir structure. The functional is PBE.

a b c (Å): 4.0366 9.2693 9.6138
angles (deg): 93.25 102.12 90.00
With the nearest neighbours (Å) after each atom.
Element x y z (fractional)
La 0.5935 0.5124 0.1871  2 Cu 3.12
La 0.9950 0.7861 0.9900  2 Ir 2.83
La 0.3446 0.0114 0.6893  1 Ir 2.93, 2 Cu 3.11
La 0.2279 0.3343 0.4559  2 Cu 2.96
La 0.6554 0.9886 0.3107  1 Ir 2.93, 2 Cu 3.11
La 0.0050 0.2139 0.0100  2 Ir 2.83
La 0.7721 0.6657 0.5441  2 Cu 2.96
La 0.4065 0.4876 0.8129  2 Cu 3.12
Cu 0.1638 0.7351 0.3276  7 La 2.96-3.23
Cu 0.8362 0.2649 0.6724  7 La 2.96-3.23
Ir 0.5000 0.0000 0.0000  6 La 2.83-2.93

Computed properties:
The offset from the most stable computed form is 0 meV per atom. The magnetization is 0.00 μB per formula unit. The symmetry is C2/m, No. 12. The value obtained for the energy relative to the elements is -0.197 eV per atom.